Here is KMoO3 after structural relaxation from the Alexandria database. Energies are from GGA+U.

Cell lengths 3.964, 3.964, 8.486 Å; angles 90.00, 90.00, 120.00 degrees
Fractional coordinates of all 10 atoms:
K 0.333 0.667 0.250
K 0.667 0.333 0.750
Mo 0.000 0.000 0.000
Mo 0.000 0.000 0.500
O 0.000 0.000 0.250
O 0.000 0.000 0.750
O 0.333 0.667 0.543
O 0.333 0.667 0.957
O 0.667 0.333 0.043
O 0.667 0.333 0.457

Properties
- V (Å³ per atom) = 11.6
- E (eV per atom) = -5.512
- DOS(E_F) (states/eV per cell) = 4.46
- M_tot (μB per atom) = 0.20